Computed, not measured: a geometry-optimized LiCoIr2 structure at the PBE level of DFT.

Values from the calculation:
The space group is Fm-3m, No. 225. The volume comes out at 50.3 Å³ per cell. The calculation puts the total energy at -6.60 eV/atom. The value obtained for the calculated formation energy is 83 meV/atom. The energy above the most stable polymorph in this dataset comes out at 0.116 eV per atom.

a b c (Å): 4.144 4.144 4.144
angles (deg): 60.00 60.00 60.00
Fractional coordinates of all 4 atoms:
Li (0.000, 0.000, 0.000)
Co (0.500, 0.500, 0.500)
Ir (0.250, 0.250, 0.250)
Ir (0.750, 0.750, 0.750)